AuClO2, optimized geometry, DFT PBE; excess energy over the best structure of this formula in the dataset = 834 meV/atom; V = 15.52 Å³/atom; space-group type = R-3m; E_tot = -12.0 eV for the cell shown; E_form (uncorrected) = 3.06 eV/f.u.
1.0
2.010 0.000 5.913
-1.005 1.741 5.913
-1.005 -1.741 5.913
O Cl Au
2 1 1
Direct
0.110 0.110 0.110
0.890 0.890 0.890
0.500 0.500 0.500
0.000 0.000 0.000

=====

AuClO2, optimized geometry, DFT PBE; excess energy over the best structure of this formula in the dataset = 1308 meV/atom; V = 12.52 Å³/atom; space-group type = Fm-3m; E_tot = -10.1 eV for the cell shown; E_form (uncorrected) = 4.96 eV/f.u.
1.0
0.000 2.926 2.926
2.926 0.000 2.926
2.926 2.926 0.000
O Cl Au
2 1 1
Direct
0.750 0.750 0.750
0.250 0.250 0.250
0.000 0.000 0.000
0.500 0.500 0.500

=====

AuClO2, optimized geometry, DFT PBE; excess energy over the best structure of this formula in the dataset = 4 meV/atom; V = 22.57 Å³/atom; space-group type = P2_1/m; E_tot = -30.6 eV for the cell shown; E_form (uncorrected) = -0.26 eV/f.u.
1.0
-0.140 -2.484 -2.365
-0.700 -3.016 3.209
-11.975 0.191 0.511
Au O Cl
2 4 2
Direct
0.750 0.134 0.927
0.250 0.866 0.073
0.250 0.863 0.450
0.750 0.856 0.566
0.750 0.137 0.550
0.250 0.144 0.434
0.750 0.630 0.202
0.250 0.370 0.798

=====

AuClO2, optimized geometry, DFT PBE; excess energy over the best structure of this formula in the dataset = 891 meV/atom; V = 18.20 Å³/atom; space-group type = I-42d; E_tot = -23.5 eV for the cell shown; E_form (uncorrected) = 3.29 eV/f.u.
1.0
4.893 0.000 0.000
0.000 4.893 0.000
2.447 2.447 6.081
Cl O Au
2 4 2
Direct
0.250 0.750 0.500
0.500 0.500 0.000
0.875 0.984 0.750
0.016 0.625 0.250
0.375 0.266 0.750
0.734 0.125 0.250
0.750 0.250 0.500
0.000 0.000 0.000

=====

Question: What is the formula in the first record?
Answer: AuClO2

=====

Please write out number 4 again, unchanged.
AuClO2, optimized geometry, DFT PBE; excess energy over the best structure of this formula in the dataset = 891 meV/atom; V = 18.20 Å³/atom; space-group type = I-42d; E_tot = -23.5 eV for the cell shown; E_form (uncorrected) = 3.29 eV/f.u.
1.0
4.893 0.000 0.000
0.000 4.893 0.000
2.447 2.447 6.081
Cl O Au
2 4 2
Direct
0.250 0.750 0.500
0.500 0.500 0.000
0.875 0.984 0.750
0.016 0.625 0.250
0.375 0.266 0.750
0.734 0.125 0.250
0.750 0.250 0.500
0.000 0.000 0.000

=====

Question: What is the formula in the first record?
Answer: AuClO2